No. 1
Entry from OQMD: crystalline YZr3Te2C2 at its relaxed geometry (PBE-GGA).

abc: 3.602 3.602 13.633
angles: 90.00 90.00 120.00
Fractional positions:
1 C 0.333 0.667 0.013
2 C 0.333 0.667 0.497
3 Te 0.000 0.000 0.254
4 Te 0.667 0.333 0.738
5 Y 0.000 0.000 0.909
6 Zr 0.667 0.333 0.096
7 Zr 0.667 0.333 0.411
8 Zr 0.000 0.000 0.584

---

No. 2
Entry from OQMD: crystalline Lu2TaIr at its relaxed geometry (PBE-GGA).

abc: 4.811 4.811 4.811
angles: 60.00 60.00 60.00
Fractional positions:
1 Ir 0.250 0.250 0.250
2 Lu 0.000 0.000 0.000
3 Lu 0.750 0.750 0.750
4 Ta 0.500 0.500 0.500

Results
**Formation enthalpy at 0 K**: -0.035 eV/atom

---

No. 3
Entry from OQMD: crystalline LuBeGe at its relaxed geometry (PBE-GGA).

abc: 4.345 4.345 4.345
angles: 60.00 60.00 60.00
Fractional positions:
1 Be 0.250 0.250 0.250
2 Ge 0.000 0.000 0.000
3 Lu 0.750 0.750 0.750

---

No. 4
Entry from OQMD: crystalline CoPbWAu at its relaxed geometry (PBE-GGA).

abc: 4.635 4.635 4.635
angles: 60.00 60.00 60.00
Site moments in Bohr magnetons follow the coordinates.
Fractional positions:
1 Au 0.250 0.250 0.250  0.01
2 Co 0.750 0.750 0.750  0.62
3 Pb 0.000 0.000 0.000  0.01
4 W 0.500 0.500 0.500  0.58

---

No. 5
Entry from OQMD: crystalline Lu3Mo3W2N12 at its relaxed geometry (PBE-GGA).

abc: 10.877 10.877 10.877
angles: 109.47 109.47 109.47
Fractional positions:
1 Lu 0.250 0.375 0.125
2 Lu 0.375 0.750 0.125
3 Lu 0.375 0.125 0.250
4 Lu 0.875 0.625 0.250
5 Lu 0.750 0.125 0.375
6 Lu 0.125 0.250 0.375
7 Lu 0.875 0.750 0.625
8 Lu 0.250 0.875 0.625
9 Lu 0.125 0.375 0.750
10 Lu 0.625 0.875 0.750
11 Lu 0.625 0.250 0.875
12 Lu 0.750 0.625 0.875
13 Mo 0.875 0.250 0.125
14 Mo 0.750 0.875 0.125
15 Mo 0.625 0.375 0.250
16 Mo 0.125 0.875 0.250
17 Mo 0.250 0.625 0.375
18 Mo 0.625 0.750 0.375
19 Mo 0.375 0.250 0.625
20 Mo 0.750 0.375 0.625
21 Mo 0.875 0.125 0.750
22 Mo 0.375 0.625 0.750
23 Mo 0.250 0.125 0.875
24 Mo 0.125 0.750 0.875
25 N 0.206 0.120 0.026
26 N 0.320 0.907 0.026
27 N 0.880 0.407 0.086
28 N 0.706 0.680 0.086
29 N 0.620 0.414 0.093
30 N 0.974 0.680 0.093
31 N 0.026 0.206 0.120
32 N 0.593 0.914 0.120
33 N 0.206 0.586 0.180
34 N 0.474 0.593 0.180
35 N 0.120 0.026 0.206
36 N 0.586 0.180 0.206
37 N 0.474 0.380 0.294
38 N 0.320 0.914 0.294
39 N 0.907 0.026 0.320
40 N 0.914 0.294 0.320
41 N 0.294 0.474 0.380
42 N 0.586 0.907 0.380
43 N 0.820 0.526 0.407
44 N 0.086 0.880 0.407
45 N 0.093 0.620 0.414
46 N 0.820 0.794 0.414
47 N 0.593 0.180 0.474
48 N 0.380 0.294 0.474
49 N 0.620 0.706 0.526
50 N 0.407 0.820 0.526
51 N 0.180 0.206 0.586
52 N 0.907 0.380 0.586
53 N 0.914 0.120 0.593
54 N 0.180 0.474 0.593
55 N 0.414 0.093 0.620
56 N 0.706 0.526 0.620
57 N 0.086 0.706 0.680
58 N 0.093 0.974 0.680
59 N 0.680 0.086 0.706
60 N 0.526 0.620 0.706
61 N 0.414 0.820 0.794
62 N 0.880 0.974 0.794
63 N 0.526 0.407 0.820
64 N 0.794 0.414 0.820
65 N 0.407 0.086 0.880
66 N 0.974 0.794 0.880
67 N 0.026 0.320 0.907
68 N 0.380 0.586 0.907
69 N 0.294 0.320 0.914
70 N 0.120 0.593 0.914
71 N 0.680 0.093 0.974
72 N 0.794 0.880 0.974
73 W 0.000 0.000 0.000
74 W 0.500 0.000 0.000
75 W 0.000 0.500 0.000
76 W 0.500 0.500 0.000
77 W 0.000 0.000 0.500
78 W 0.500 0.000 0.500
79 W 0.000 0.500 0.500
80 W 0.500 0.500 0.500

---

No. 6
Entry from OQMD: crystalline Mg2ScHg at its relaxed geometry (PBE-GGA).

abc: 4.895 6.227 6.227
angles: 64.89 90.00 90.00
Fractional positions:
1 Hg 0.000 0.841 0.344
2 Hg 0.000 0.344 0.841
3 Mg 0.500 0.666 0.150
4 Mg 0.500 0.159 0.159
5 Mg 0.500 0.150 0.666
6 Mg 0.000 0.845 0.845
7 Sc 0.000 0.345 0.345
8 Sc 0.500 0.651 0.651

---

No. 7
Entry from OQMD: crystalline ErZr2 at its relaxed geometry (PBE-GGA).

abc: 6.070 6.070 6.070
angles: 60.00 60.00 60.00
Site moments in Bohr magnetons follow the coordinates.
Fractional positions:
1 Er 0.000 0.000 0.000  0.34
2 Er 0.250 0.250 0.250  0.34
3 Zr 0.625 0.625 0.125  0.46
4 Zr 0.625 0.125 0.625  0.47
5 Zr 0.125 0.625 0.625  0.62
6 Zr 0.625 0.625 0.625  0.50

Results
**Formation enthalpy at 0 K**: 0.232 eV/atom

---

No. 8
Entry from OQMD: crystalline CsAgTePtSe2 at its relaxed geometry (PBE-GGA).

abc: 8.608 8.608 11.106
angles: 90.00 90.00 153.98
Fractional positions:
1 Ag 0.068 0.932 0.250
2 Ag 0.932 0.068 0.750
3 Cs 0.749 0.251 0.250
4 Cs 0.251 0.749 0.750
5 Pt 0.500 0.500 0.000
6 Pt 0.500 0.500 0.500
7 Se 0.099 0.901 0.021
8 Se 0.099 0.901 0.479
9 Se 0.901 0.099 0.521
10 Se 0.901 0.099 0.979
11 Te 0.446 0.554 0.250
12 Te 0.554 0.446 0.750

---

No. 9
Entry from OQMD: crystalline LiNdZnTe3 at its relaxed geometry (PBE-GGA).

abc: 7.550 7.550 11.779
angles: 90.00 90.00 32.99
Fractional positions:
1 Li 0.802 0.802 0.250
2 Li 0.198 0.198 0.750
3 Nd 0.000 0.000 0.000
4 Nd 0.000 0.000 0.500
5 Te 0.354 0.354 0.079
6 Te 0.092 0.092 0.250
7 Te 0.354 0.354 0.421
8 Te 0.646 0.646 0.579
9 Te 0.908 0.908 0.750
10 Te 0.646 0.646 0.921
11 Zn 0.477 0.477 0.250
12 Zn 0.523 0.523 0.750

---

No. 10
Entry from OQMD: crystalline AgTeNO at its relaxed geometry (PBE-GGA).

abc: 3.181 6.223 6.361
angles: 90.00 90.00 90.00
Fractional positions:
1 Ag 0.000 0.719 0.499
2 Ag 0.000 0.281 0.999
3 N 0.000 0.625 0.150
4 N 0.000 0.375 0.650
5 O 0.500 0.021 0.115
6 O 0.500 0.979 0.615
7 Te 0.500 0.251 0.481
8 Te 0.500 0.749 0.981

---

no.,E (eV/atom),volume (Å³ per cell)
1,-7.98,153.2
2,-7.47,78.7
3,-4.37,58.0
4,-5.84,70.4
5,-9.32,990.6
6,-2.63,171.9
7,-6.99,158.2
8,-3.69,361.1
9,-3.85,365.6
10,-4.62,125.9